Entry 1:
VASP calculation (PBE-GGA) on a relaxed structure of BeSi2Os.

Cell: 3.0450 3.9726 4.0252 Å, 90.00 90.00 90.00°
With the nearest neighbours (Å) after each atom.
Element x y z (fractional)
Be 0.0000 0.0000 0.0000  4 Si 2.50, 4 Os 2.52
Si 0.0000 0.5000 0.5000  4 Os 2.50, 4 Si 2.52
Si 0.5000 0.5000 0.0000  4 Be 2.50, 4 Si 2.52
Os 0.5000 0.0000 0.5000  4 Si 2.50, 4 Be 2.52

Calculated values
- Formation energy without anion corrections: 185 meV per atom
- ρ: 8.71 Mg/m³
- Space group: Pmmm, No. 47


Entry 2:
VASP calculation (PBE-GGA) on a relaxed structure of BeSiOs3.

Cell: 4.0886 4.0886 4.0886 Å, 90.00 90.00 90.00°
With the nearest neighbours (Å) after each atom.
Element x y z (fractional)
Be 0.0000 0.0000 0.0000  6 Os 2.04
Si 0.5000 0.5000 0.5000  12 Os 2.89
Os 0.0000 0.0000 0.5000  2 Be 2.04
Os 0.0000 0.5000 0.0000  2 Be 2.04
Os 0.5000 0.0000 0.0000  2 Be 2.04

Calculated values
- Formation energy without anion corrections: 815 meV per atom
- ρ: 14.77 Mg/m³
- E above lowest polymorph: 0.000 eV per formula unit
- Space group: Pm-3m, No. 221


Entry 3:
VASP calculation (PBE-GGA) on a relaxed structure of Be2SiOs.

Cell: 3.0047 3.0047 4.8858 Å, 90.00 90.00 90.00°
With the nearest neighbours (Å) after each atom.
Element x y z (fractional)
Be 0.0000 0.0000 0.0000  2 Os 2.37-2.52, 4 Be 2.37, 4 Si 2.46
Be 0.5000 0.5000 0.2153  1 Si 2.30, 4 Be 2.37, 4 Os 2.50
Si 0.5000 0.5000 0.7443  5 Be 2.30-2.46, 4 Os 2.47
Os 0.0000 0.0000 0.4852  6 Be 2.37-2.52, 4 Si 2.47

Calculated values
- Formation energy without anion corrections: -212 meV per atom
- ρ: 8.90 Mg/m³
- Space group: P4mm, No. 99


Entry 4:
VASP calculation (PBE-GGA) on a relaxed structure of Be2SiOs.

Cell: 3.7129 3.7129 3.1124 Å, 90.00 90.00 90.11°
With the nearest neighbours (Å) after each atom.
Element x y z (fractional)
Be 0.0000 0.5000 0.0000  4 Os 2.42, 4 Si 2.42, 4 Be 2.62-2.63
Be 0.5000 0.0000 0.0000  4 Os 2.42, 4 Si 2.42, 4 Be 2.62-2.63
Si 0.0000 0.0000 0.5000  8 Be 2.42, 4 Os 2.62-2.63
Os 0.5000 0.5000 0.5000  8 Be 2.42, 4 Si 2.62-2.63

Calculated values
- Formation energy without anion corrections: -108 meV per atom
- ρ: 9.15 Mg/m³
- Space group: Cmmm, No. 65


Entry 5:
VASP calculation (PBE-GGA) on a relaxed structure of BeSi2Os.

Cell: 4.3716 4.3716 4.3716 Å, 129.40 129.40 74.36°
With the nearest neighbours (Å) after each atom.
Element x y z (fractional)
Be 0.0000 0.0000 0.0000  8 Si 2.55, 4 Os 2.64
Si 0.2500 0.7500 0.5000  4 Be 2.55, 4 Os 2.55, 4 Si 2.64
Si 0.7500 0.2500 0.5000  4 Be 2.55, 4 Os 2.55, 4 Si 2.64
Os 0.5000 0.5000 0.0000  8 Si 2.55, 4 Be 2.64

Calculated values
- Formation energy without anion corrections: 28 meV per atom
- ρ: 8.72 Mg/m³
- Space group: I4/mmm, No. 139


Entry 6:
VASP calculation (PBE-GGA) on a relaxed structure of BeSi3Os.

Cell: 4.6417 4.6417 4.6417 Å, 90.00 90.00 90.00°
With the nearest neighbours (Å) after each atom.
Element x y z (fractional)
Be 0.0000 0.0000 0.0000  12 Si 3.28
Si 0.0000 0.5000 0.5000  2 Os 2.32
Si 0.5000 0.0000 0.5000  2 Os 2.32
Si 0.5000 0.5000 0.0000  2 Os 2.32
Os 0.5000 0.5000 0.5000  6 Si 2.32

Calculated values
- Formation energy without anion corrections: 908 meV per atom
- ρ: 4.71 Mg/m³
- E above lowest polymorph: 0.000 eV per formula unit
- Space group: Pm-3m, No. 221


Entry 7:
VASP calculation (PBE-GGA) on a relaxed structure of BeSi2Os.

Cell: 4.4612 4.4612 4.4612 Å, 131.94 131.94 70.33°
With the nearest neighbours (Å) after each atom.
Element x y z (fractional)
Be 0.0000 0.0000 0.0000  8 Si 2.57, 4 Os 2.57
Si 0.2500 0.7500 0.5000  4 Os 2.57, 4 Si 2.57, 4 Be 2.57
Si 0.5000 0.5000 0.0000  4 Be 2.57, 4 Si 2.57, 4 Os 2.57
Os 0.7500 0.2500 0.5000  8 Si 2.57, 4 Be 2.57

Calculated values
- Formation energy without anion corrections: 44 meV per atom
- ρ: 8.81 Mg/m³
- Space group: I-4m2, No. 119


Entry 8:
VASP calculation (PBE-GGA) on a relaxed structure of Be3SiOs.

Cell: 4.2160 4.2160 4.2160 Å, 90.00 90.00 90.00°
With the nearest neighbours (Å) after each atom.
Element x y z (fractional)
Be 0.0000 0.0000 0.5000  2 Os 2.11
Be 0.0000 0.5000 0.0000  2 Os 2.11
Be 0.5000 0.0000 0.0000  2 Os 2.11
Si 0.5000 0.5000 0.5000  12 Be 2.98
Os 0.0000 0.0000 0.0000  6 Be 2.11

Calculated values
- Formation energy without anion corrections: 867 meV per atom
- ρ: 5.44 Mg/m³
- E above lowest polymorph: 0.000 eV per formula unit
- Space group: Pm-3m, No. 221


Entry 9:
VASP calculation (PBE-GGA) on a relaxed structure of BeSi2Os.

Cell: 7.3794 7.3794 7.3794 Å, 22.55 22.55 22.55°
With the nearest neighbours (Å) after each atom.
Element x y z (fractional)
Be 0.0000 0.0000 0.0000  3 Si 2.39, 3 Os 2.44
Si 0.5000 0.5000 0.5000  3 Os 2.46, 3 Si 2.51
Si 0.7462 0.7462 0.7462  3 Be 2.39, 3 Si 2.51
Os 0.2504 0.2504 0.2504  3 Be 2.44, 3 Si 2.46

Calculated values
- Formation energy without anion corrections: 192 meV per atom
- ρ: 8.18 Mg/m³
- Space group: R3m, No. 160


Entry 10:
VASP calculation (PBE-GGA) on a relaxed structure of BeSi2Os.

Cell: 2.8996 3.4083 4.9543 Å, 90.00 90.24 90.00°
With the nearest neighbours (Å) after each atom.
Element x y z (fractional)
Be 0.0000 0.0000 0.0000  2 Os 2.48, 8 Si 2.53-2.54
Si 0.4988 0.5000 0.2385  2 Si 2.36-2.59, 4 Be 2.53-2.54, 4 Os 2.58-2.59
Si 0.5012 0.5000 0.7615  2 Si 2.36-2.59, 4 Be 2.53-2.54, 4 Os 2.58-2.59
Os 0.0000 0.0000 0.5000  2 Be 2.48, 8 Si 2.58-2.59

Calculated values
- Formation energy without anion corrections: 17 meV per atom
- ρ: 8.66 Mg/m³
- Space group: P2/m, No. 10


Entry 11:
VASP calculation (PBE-GGA) on a relaxed structure of Be2SiOs.

Cell: 3.0513 3.7093 3.8742 Å, 90.00 90.00 90.00°
With the nearest neighbours (Å) after each atom.
Element x y z (fractional)
Be 0.0000 0.0000 0.0000  4 Os 2.40, 4 Be 2.47, 4 Si 2.68
Be 0.5000 0.0000 0.5000  4 Si 2.40, 4 Be 2.47, 4 Os 2.68
Si 0.0000 0.5000 0.5000  8 Be 2.40-2.68, 4 Os 2.47
Os 0.5000 0.5000 0.0000  8 Be 2.40-2.68, 4 Si 2.47

Calculated values
- Formation energy without anion corrections: -60 meV per atom
- ρ: 8.95 Mg/m³
- Space group: Pmmm, No. 47


Entry 12:
VASP calculation (PBE-GGA) on a relaxed structure of Be2SiOs.

Cell: 3.0238 3.0238 4.8004 Å, 90.00 90.00 90.00°
With the nearest neighbours (Å) after each atom.
Element x y z (fractional)
Be 0.0000 0.0000 0.2383  2 Be 2.29-2.51, 4 Os 2.42, 4 Si 2.48
Be 0.0000 0.0000 0.7617  2 Be 2.29-2.51, 4 Os 2.42, 4 Si 2.48
Si 0.5000 0.5000 0.5000  2 Os 2.40, 8 Be 2.48
Os 0.5000 0.5000 0.0000  2 Si 2.40, 8 Be 2.42

Calculated values
- Formation energy without anion corrections: -239 meV per atom
- ρ: 8.94 Mg/m³
- Space group: P4/mmm, No. 123


Copy entry 8 word for word.
VASP calculation (PBE-GGA) on a relaxed structure of Be3SiOs.

Cell: 4.2160 4.2160 4.2160 Å, 90.00 90.00 90.00°
With the nearest neighbours (Å) after each atom.
Element x y z (fractional)
Be 0.0000 0.0000 0.5000  2 Os 2.11
Be 0.0000 0.5000 0.0000  2 Os 2.11
Be 0.5000 0.0000 0.0000  2 Os 2.11
Si 0.5000 0.5000 0.5000  12 Be 2.98
Os 0.0000 0.0000 0.0000  6 Be 2.11

Calculated values
- Formation energy without anion corrections: 867 meV per atom
- ρ: 5.44 Mg/m³
- E above lowest polymorph: 0.000 eV per formula unit
- Space group: Pm-3m, No. 221


Repeat the third record exactly.
VASP calculation (PBE-GGA) on a relaxed structure of Be2SiOs.

Cell: 3.0047 3.0047 4.8858 Å, 90.00 90.00 90.00°
With the nearest neighbours (Å) after each atom.
Element x y z (fractional)
Be 0.0000 0.0000 0.0000  2 Os 2.37-2.52, 4 Be 2.37, 4 Si 2.46
Be 0.5000 0.5000 0.2153  1 Si 2.30, 4 Be 2.37, 4 Os 2.50
Si 0.5000 0.5000 0.7443  5 Be 2.30-2.46, 4 Os 2.47
Os 0.0000 0.0000 0.4852  6 Be 2.37-2.52, 4 Si 2.47

Calculated values
- Formation energy without anion corrections: -212 meV per atom
- ρ: 8.90 Mg/m³
- Space group: P4mm, No. 99